Entry 1:
First-principles (PBEsol) data for Zn2NiHg after structural relaxation, as listed in the Alexandria database.

Calculated values
ΔE_f	-3	meV/atom

Unit cell a=2.9360 b=3.2172 c=6.1473 alpha=90.00 beta=90.00 gamma=90.00
Positions (direct):
Hg  0.0000  0.0000  0.5155
Ni  0.5000  0.5000  0.7940
Zn  0.0000  0.0000  0.9749
Zn  0.5000  0.5000  0.2156

Entry 2:
First-principles (PBEsol) data for ZnNiHg after structural relaxation, as listed in the Alexandria database.

Calculated values
ΔE_f	278	meV/atom

Unit cell a=4.1342 b=4.1342 c=4.1342 alpha=60.00 beta=60.00 gamma=60.00
Positions (direct):
Hg  0.0000  0.0000  0.0000
Ni  0.5000  0.5000  0.5000
Zn  0.2500  0.2500  0.2500

Entry 3:
First-principles (PBEsol) data for ZnNi2Hg after structural relaxation, as listed in the Alexandria database.

Calculated values
ΔE_f	85	meV/atom

Unit cell a=2.8105 b=4.2949 c=4.8909 alpha=100.71 beta=90.00 gamma=109.10
Positions (direct):
Hg  0.5000  0.0000  0.0000
Ni  0.7443  0.4885  0.7130
Ni  0.2557  0.5115  0.2870
Zn  0.0000  0.0000  0.5000

Entry 4:
First-principles (PBEsol) data for Zn2NiHg after structural relaxation, as listed in the Alexandria database.

Calculated values
ΔE_f	-11	meV/atom

Unit cell a=3.7748 b=3.7748 c=4.8248 alpha=113.03 beta=113.03 gamma=90.00
Positions (direct):
Hg  0.5000  0.5000  0.0000
Ni  0.2500  0.7500  0.5000
Zn  0.0000  0.0000  0.0000
Zn  0.7500  0.2500  0.5000

Entry 5:
First-principles (PBEsol) data for ZrNiHg2 after structural relaxation, as listed in the Alexandria database.

Calculated values
ΔE_f	-117	meV/atom

Unit cell a=4.6426 b=4.6471 c=4.6473 alpha=120.00 beta=119.97 gamma=90.00
Positions (direct):
Hg  0.7502  0.7502  0.5004
Hg  0.2498  0.2498  0.4996
Ni  0.5000  0.0000  0.0000
Zr  0.0000  0.5000  0.0000

Entry 6:
First-principles (PBEsol) data for ZrNiHg3 after structural relaxation, as listed in the Alexandria database.

Calculated values
ΔE_f	1298	meV/atom

Unit cell a=5.3977 b=5.3977 c=5.3977 alpha=90.00 beta=90.00 gamma=90.00
Positions (direct):
Ni  0.5000  0.5000  0.5000
Hg  0.0000  0.5000  0.0000
Hg  0.0000  0.0000  0.5000
Hg  0.5000  0.0000  0.0000
Zr  0.0000  0.0000  0.0000

Entry 7:
First-principles (PBEsol) data for HgO after structural relaxation, as listed in the Alexandria database.

Calculated values
formation energy without anion corrections	-27.83	kJ/mol of atoms

Unit cell a=3.5986 b=3.5986 c=8.7015 alpha=90.00 beta=90.00 gamma=120.00
Positions (direct):
Hg  0.0000  0.2491  0.8333
Hg  0.2491  0.0000  0.5000
Hg  0.7509  0.7509  0.1667
O  0.0000  0.5319  0.3333
O  0.5319  0.0000  0.0000
O  0.4681  0.4681  0.6667

Entry 8:
First-principles (PBEsol) data for HgO after structural relaxation, as listed in the Alexandria database.

Calculated values
formation energy without anion corrections	-28.04	kJ/mol of atoms

Unit cell a=3.5626 b=5.4749 c=6.6661 alpha=90.00 beta=90.00 gamma=90.00
Positions (direct):
Hg  0.2536  0.2500  0.6156
Hg  0.7536  0.7500  0.8844
Hg  0.7464  0.7500  0.3844
Hg  0.2464  0.2500  0.1156
O  0.9123  0.2500  0.8637
O  0.4123  0.7500  0.6363
O  0.0877  0.7500  0.1363
O  0.5877  0.2500  0.3637

Entry 9:
First-principles (PBEsol) data for HgPOsO2 after structural relaxation, as listed in the Alexandria database.

Calculated values
formation energy without anion corrections	-38.78	kJ/mol of atoms

Unit cell a=3.7559 b=3.7559 c=5.1770 alpha=90.00 beta=90.00 gamma=90.00
Positions (direct):
P  0.0000  0.0000  0.5000
Os  0.0000  0.0000  0.0000
Hg  0.5000  0.5000  0.5000
O  0.0000  0.5000  0.0000
O  0.5000  0.0000  0.0000

Entry 10:
First-principles (PBEsol) data for Hg3PO4 after structural relaxation, as listed in the Alexandria database.

Calculated values
formation energy without anion corrections	-111.69	kJ/mol of atoms

Unit cell a=5.0386 b=8.6262 c=12.0419 alpha=95.71 beta=90.00 gamma=90.00
Positions (direct):
Hg  0.1599  0.1788  0.6229
Hg  0.3424  0.3101  0.0427
Hg  0.1576  0.8101  0.5427
Hg  0.6576  0.6899  0.9573
Hg  0.8424  0.1899  0.4573
Hg  0.6599  0.3212  0.8771
Hg  0.8401  0.8212  0.3771
Hg  0.3401  0.6788  0.1229
Hg  0.3535  0.4599  0.4147
Hg  0.8535  0.0401  0.0853
Hg  0.6465  0.5401  0.5853
Hg  0.1465  0.9599  0.9147
P  0.1299  0.5391  0.7744
P  0.8701  0.4609  0.2256
P  0.6299  0.9609  0.7256
P  0.3701  0.0391  0.2744
O  0.4821  0.8711  0.2839
O  0.9821  0.6289  0.2161
O  0.5179  0.1289  0.7161
O  0.0179  0.3711  0.7839
O  0.0633  0.0318  0.2702
O  0.5633  0.4682  0.2298
O  0.9367  0.9682  0.7298
O  0.4367  0.5318  0.7702
O  0.4716  0.0971  0.1636
O  0.0437  0.6518  0.8766
O  0.5284  0.9029  0.8364
O  0.0284  0.5971  0.6636
O  0.4563  0.1518  0.3766
O  0.9563  0.3482  0.1234
O  0.5437  0.8482  0.6234
O  0.9716  0.4029  0.3364

Entry 11:
First-principles (PBEsol) data for Hg3P2O8 after structural relaxation, as listed in the Alexandria database.

Calculated values
formation energy without anion corrections	-133.17	kJ/mol of atoms

Unit cell a=6.4344 b=9.8310 c=11.5102 alpha=90.00 beta=90.00 gamma=99.64
Positions (direct):
Hg  0.6763  0.0396  0.6200
Hg  0.8237  0.9604  0.1200
Hg  0.3237  0.9604  0.3800
Hg  0.1763  0.0396  0.8800
Hg  0.8287  0.6990  0.3948
Hg  0.6713  0.3010  0.8948
Hg  0.1713  0.3010  0.6052
Hg  0.3287  0.6990  0.1052
Hg  0.4154  0.6543  0.6673
Hg  0.0846  0.3457  0.1673
Hg  0.5846  0.3457  0.3327
Hg  0.9154  0.6543  0.8327
O  0.2545  0.5491  0.5221
O  0.2455  0.4509  0.0221
O  0.7455  0.4509  0.4779
O  0.7545  0.5491  0.9779
O  0.5154  0.7207  0.4063
O  0.9846  0.2793  0.9063
O  0.4846  0.2793  0.5937
O  0.0154  0.7207  0.0937
O  0.1455  0.7035  0.3586
O  0.3545  0.2965  0.8586
O  0.8545  0.2965  0.6414
O  0.6455  0.7035  0.1414
O  0.3199  0.4971  0.3097
O  0.1801  0.5029  0.8097
O  0.6801  0.5029  0.6903
O  0.8199  0.4971  0.1903
O  0.5824  0.0309  0.7955
O  0.9176  0.9691  0.2955
O  0.4176  0.9691  0.2045
O  0.0824  0.0309  0.7045
O  0.6290  0.7790  0.7798
O  0.8710  0.2210  0.2798
O  0.3710  0.2210  0.2202
O  0.1290  0.7790  0.7202
O  0.8046  0.9155  0.9394
O  0.6954  0.0845  0.4394
O  0.1954  0.0845  0.0606
O  0.3046  0.9155  0.5606
O  0.3976  0.8627  0.9406
O  0.1024  0.1373  0.4406
O  0.6024  0.1373  0.0594
O  0.8976  0.8627  0.5594
P  0.3092  0.6114  0.3987
P  0.1908  0.3886  0.8987
P  0.6908  0.3886  0.6013
P  0.8092  0.6114  0.1013
P  0.5962  0.8961  0.8667
P  0.9038  0.1039  0.3667
P  0.4038  0.1039  0.1333
P  0.0962  0.8961  0.6333

Entry 12:
First-principles (PBEsol) data for Hg9P4O16 after structural relaxation, as listed in the Alexandria database.

Calculated values
formation energy without anion corrections	-121.83	kJ/mol of atoms

Unit cell a=10.2039 b=10.2039 c=10.2039 alpha=108.51 beta=108.51 gamma=108.51
Positions (direct):
Hg  0.5411  0.5948  0.8204
Hg  0.5948  0.8204  0.5411
Hg  0.8204  0.5411  0.5948
Hg  0.0411  0.3204  0.0948
Hg  0.0948  0.0411  0.3204
Hg  0.3204  0.0948  0.0411
Hg  0.7198  0.8221  0.3460
Hg  0.8221  0.3460  0.7198
Hg  0.3460  0.7198  0.8221
Hg  0.2198  0.8460  0.3221
Hg  0.3221  0.2198  0.8460
Hg  0.8460  0.3221  0.2198
Hg  0.0127  0.6513  0.9066
Hg  0.6513  0.9066  0.0127
Hg  0.9066  0.0127  0.6513
Hg  0.5127  0.4066  0.1513
Hg  0.1513  0.5127  0.4066
Hg  0.4066  0.1513  0.5127
O  0.0834  0.9088  0.0122
O  0.9088  0.0122  0.0834
O  0.0122  0.0834  0.9088
O  0.5834  0.5122  0.4088
O  0.4088  0.5834  0.5122
O  0.5122  0.4088  0.5834
O  0.8467  0.7887  0.2069
O  0.7887  0.2069  0.8467
O  0.2069  0.8467  0.7887
O  0.3467  0.7069  0.2887
O  0.2887  0.3467  0.7069
O  0.7069  0.2887  0.3467
O  0.7213  0.5459  0.9404
O  0.5459  0.9404  0.7213
O  0.9404  0.7213  0.5459
O  0.2213  0.4404  0.0459
O  0.0459  0.2213  0.4404
O  0.4404  0.0459  0.2213
O  0.9896  0.6341  0.1340
O  0.6341  0.1340  0.9896
O  0.1340  0.9896  0.6341
O  0.4896  0.6340  0.1341
O  0.1341  0.4896  0.6340
O  0.6340  0.1341  0.4896
O  0.2653  0.6898  0.0186
O  0.6898  0.0186  0.2653
O  0.0186  0.2653  0.6898
O  0.7653  0.5186  0.1898
O  0.1898  0.7653  0.5186
O  0.5186  0.1898  0.7653
O  0.8014  0.8014  0.8014
O  0.3014  0.3014  0.3014
P  0.8273  0.6214  0.1178
P  0.6214  0.1178  0.8273
P  0.1178  0.8273  0.6214
P  0.3273  0.6178  0.1214
P  0.1214  0.3273  0.6178
P  0.6178  0.1214  0.3273
P  0.9437  0.9437  0.9437
P  0.4437  0.4437  0.4437

Entry 13:
First-principles (PBEsol) data for HgP2PtO after structural relaxation, as listed in the Alexandria database.

Calculated values
relative energy among the computed polymorphs	895	meV/atom
formation energy without anion corrections	126.49	kJ/mol of atoms

Unit cell a=3.8675 b=4.8861 c=4.8861 alpha=90.00 beta=90.00 gamma=90.00
Positions (direct):
O  0.5000  0.0000  0.0000
P  0.0000  0.0000  0.5000
P  0.0000  0.5000  0.0000
Hg  0.0000  0.0000  0.0000
Pt  0.5000  0.5000  0.5000

Entry 14:
First-principles (PBEsol) data for HgPPtO2 after structural relaxation, as listed in the Alexandria database.

Calculated values
formation energy without anion corrections	102.88	kJ/mol of atoms

Unit cell a=3.9111 b=3.9111 c=5.4058 alpha=90.00 beta=90.00 gamma=90.00
Positions (direct):
O  0.0000  0.5000  0.0000
O  0.5000  0.0000  0.0000
P  0.0000  0.0000  0.5000
Hg  0.0000  0.0000  0.0000
Pt  0.5000  0.5000  0.5000

Entry 15:
First-principles (PBEsol) data for HgP2PtO after structural relaxation, as listed in the Alexandria database.

Calculated values
relative energy among the computed polymorphs	0	meV/atom
formation energy without anion corrections	40.15	kJ/mol of atoms

Unit cell a=3.7257 b=4.8493 c=4.8493 alpha=90.00 beta=90.00 gamma=90.00
Positions (direct):
O  0.5000  0.0000  0.0000
P  0.0000  0.0000  0.5000
P  0.0000  0.5000  0.0000
Hg  0.5000  0.5000  0.5000
Pt  0.0000  0.0000  0.0000

Entry 16:
First-principles (PBEsol) data for HgP2RuO after structural relaxation, as listed in the Alexandria database.

Calculated values
formation energy without anion corrections	221.59	kJ/mol of atoms

Unit cell a=4.7866 b=4.7866 c=5.2095 alpha=90.00 beta=90.00 gamma=90.00
Positions (direct):
Ru  0.0000  0.0000  0.5000
Hg  0.0000  0.0000  0.0000
O  0.5000  0.5000  0.5000
P  0.0000  0.5000  0.0000
P  0.5000  0.0000  0.0000

Entry 17:
First-principles (PBEsol) data for ScHgP2O after structural relaxation, as listed in the Alexandria database.

Calculated values
formation energy without anion corrections	39.20	kJ/mol of atoms

Unit cell a=4.0494 b=4.8899 c=4.8899 alpha=90.00 beta=90.00 gamma=90.00
Positions (direct):
Sc  0.5000  0.5000  0.5000
P  0.0000  0.0000  0.5000
P  0.0000  0.5000  0.0000
Hg  0.0000  0.0000  0.0000
O  0.5000  0.0000  0.0000

Entry 18:
First-principles (PBEsol) data for SiHgPO2 after structural relaxation, as listed in the Alexandria database.

Calculated values
formation energy without anion corrections	76.87	kJ/mol of atoms

Unit cell a=4.0223 b=4.0223 c=5.0704 alpha=90.00 beta=90.00 gamma=90.00
Positions (direct):
P  0.0000  0.0000  0.5000
Si  0.5000  0.5000  0.5000
Hg  0.0000  0.0000  0.0000
O  0.0000  0.5000  0.0000
O  0.5000  0.0000  0.0000

Entry 19:
First-principles (PBEsol) data for TcHg2PO after structural relaxation, as listed in the Alexandria database.

Calculated values
formation energy without anion corrections	53.27	kJ/mol of atoms

Unit cell a=3.6521 b=5.0117 c=5.0117 alpha=90.00 beta=90.00 gamma=90.00
Positions (direct):
P  0.5000  0.5000  0.5000
Hg  0.0000  0.0000  0.5000
Hg  0.0000  0.5000  0.0000
O  0.0000  0.0000  0.0000
Tc  0.5000  0.0000  0.0000

Entry 20:
First-principles (PBEsol) data for HgTePO2 after structural relaxation, as listed in the Alexandria database.

Calculated values
formation energy without anion corrections	55.89	kJ/mol of atoms

Unit cell a=4.1152 b=4.1152 c=5.0348 alpha=90.00 beta=90.00 gamma=90.00
Positions (direct):
P  0.0000  0.0000  0.5000
Te  0.5000  0.5000  0.5000
Hg  0.0000  0.0000  0.0000
O  0.0000  0.5000  0.0000
O  0.5000  0.0000  0.0000

Entry 21:
First-principles (PBEsol) data for TiHgPO2 after structural relaxation, as listed in the Alexandria database.

Calculated values
formation energy without anion corrections	-122.48	kJ/mol of atoms

Unit cell a=3.7463 b=3.7463 c=5.3775 alpha=90.00 beta=90.00 gamma=90.00
Positions (direct):
P  0.0000  0.0000  0.5000
Hg  0.5000  0.5000  0.5000
O  0.0000  0.5000  0.0000
O  0.5000  0.0000  0.0000
Ti  0.0000  0.0000  0.0000